This record from the Alexandria database describes a relaxed NaMgMoO4 crystal. The functional is GGA+U.

```
data_NaMgMoO4
_cell_length_a 6.324
_cell_length_b 9.715
_cell_length_c 6.681
_cell_angle_alpha 90.00
_cell_angle_beta 90.00
_cell_angle_gamma 90.00
_symmetry_space_group_name_H-M 'C m c m'
_symmetry_Int_Tables_number 63
_symmetry_space_group_name_Hall '-C 2c 2'
loop_
_atom_site_label
_atom_site_type_symbol
_atom_site_fract_x
_atom_site_fract_y
_atom_site_fract_z
Na1 Na 0.000 0.000 0.000
Mg1 Mg 0.000 0.356 0.250
Mo1 Mo 0.000 0.350 0.750
O1 O 0.000 0.257 0.509
O2 O 0.212 0.489 0.750
```

Values from the calculation:
ρ   3.35 g/cm3
Uncorrected energy   -172.00 eV/cell



This record from the Alexandria database describes a relaxed Na2MgMoO4 crystal. The functional is GGA+U.

```
data_Na2MgMoO4
_cell_length_a 5.405
_cell_length_b 3.170
_cell_length_c 5.714
_cell_angle_alpha 90.00
_cell_angle_beta 108.24
_cell_angle_gamma 90.00
_symmetry_space_group_name_H-M 'P 1 2/m 1'
_symmetry_Int_Tables_number 10
_symmetry_space_group_name_Hall '-P 2y'
loop_
_atom_site_label
_atom_site_type_symbol
_atom_site_fract_x
_atom_site_fract_y
_atom_site_fract_z
Na1 Na 0.000 0.000 0.000
Na2 Na 0.500 0.500 0.000
Mg1 Mg 0.000 0.500 0.500
Mo1 Mo 0.500 0.000 0.500
O1 O 0.244 0.000 0.698
O2 O 0.269 0.500 0.292
```

Values from the calculation:
ρ   4.11 g/cm3
Uncorrected energy   -46.86 eV/cell